[1]
VASP calculation (GGA-PBEsol) on an optimized crystal structure of Ti2CrIr.

```
4
Lattice="4.284 0.000 0.000 2.142 3.710 0.000 2.142 1.237 3.498" Properties=species:S:1:pos:R:3 pbc="T T T"
Ir 0.000 0.000 0.000
Ti 6.425 3.710 2.623
Ti 2.142 1.237 0.874
Cr 4.284 2.473 1.749
```

Properties
Magnetization (μB per formula unit): 0.6
Symmetry: Fm-3m, No. 225
DOS(E_F) (states/eV/cell): 3.789

***

[2]
VASP calculation (GGA-PBEsol) on an optimized crystal structure of Y2TiCrIr.

```
5
Lattice="-1.383 2.331 -3.212 -4.612 -0.222 1.824 0.842 4.125 2.631" Properties=species:S:1:pos:R:3 pbc="T T T"
Ti -0.692 1.165 -1.606
Ir -2.577 3.117 0.621
Y -2.306 -0.111 0.912
Y 0.421 2.063 1.315
Cr 0.000 0.000 0.000
```

Properties
Magnetization (μB per formula unit): 0.0
Symmetry: P4/mmm, No. 123
DOS(E_F) (states/eV/cell): 4.200

***

[3]
VASP calculation (GGA-PBEsol) on an optimized crystal structure of TlCrIr2.

```
4
Lattice="2.809 0.000 0.000 0.000 2.809 0.000 0.000 0.000 7.672" Properties=species:S:1:pos:R:3 pbc="T T T"
Cr 1.404 1.404 3.836
Tl 1.404 1.404 0.000
Ir 0.000 0.000 5.452
Ir 0.000 0.000 2.221
```

Properties
Energy relative to the lowest polymorph listed for this composition (eV per atom): 0.000
Magnetization (μB per formula unit): 0.0
Symmetry: P4/mmm, No. 123
DOS(E_F) (states/eV/cell): 3.015

***

[4]
VASP calculation (GGA-PBEsol) on an optimized crystal structure of Tl2CrIr.

```
4
Lattice="-1.701 -3.159 1.903 3.323 -2.222 -0.718 0.940 4.065 3.255" Properties=species:S:1:pos:R:3 pbc="T T T"
Ir 2.537 -0.423 1.564
Cr 0.811 -2.690 0.592
Tl 0.000 0.000 0.000
Tl 0.025 -0.892 2.875
```

Properties
Energy relative to the lowest polymorph listed for this composition (eV per atom): 0.104
Magnetization (μB per formula unit): 4.1
Symmetry: I-4m2, No. 119
DOS(E_F) (states/eV/cell): 3.930

***

[5]
VASP calculation (GGA-PBEsol) on an optimized crystal structure of TlCrIr2.

```
4
Lattice="2.802 0.000 0.000 0.000 2.802 0.000 0.000 0.000 7.732" Properties=species:S:1:pos:R:3 pbc="T T T"
Ir 0.000 0.000 7.581
Ir 1.401 1.401 1.784
Tl 0.000 0.000 3.927
Cr 1.401 1.401 6.038
```

Properties
Energy relative to the lowest polymorph listed for this composition (eV per atom): 0.234
Magnetization (μB per formula unit): 0.0
Symmetry: P4mm, No. 99
DOS(E_F) (states/eV/cell): 3.767

***

[6]
VASP calculation (GGA-PBEsol) on an optimized crystal structure of Tl2CrIr.

```
4
Lattice="4.662 0.000 0.000 2.331 4.037 0.000 2.331 1.346 3.806" Properties=species:S:1:pos:R:3 pbc="T T T"
Tl 6.993 4.037 2.855
Tl 2.331 1.346 0.952
Cr 0.000 0.000 0.000
Ir 4.662 2.692 1.903
```

Properties
Energy relative to the lowest polymorph listed for this composition (eV per atom): 0.000
Magnetization (μB per formula unit): 3.6
Symmetry: Fm-3m, No. 225
DOS(E_F) (states/eV/cell): 2.511

***

Formation energy from the elements for the records above, in order: -0.554; 0.610; 0.183; 0.649; 0.416; 0.545 eV per atom